{
  "formula": "CaAlSn2Pd4",
  "functional": "PBE-GGA",
  "state": "optimized geometry",
  "lattice": [[-2.501, -0.396, -3.815], [1.998, -1.243, -3.928], [-1.624, -8.525, -0.798]],
  "species": ["Ca", "Pd", "Pd", "Pd", "Pd", "Sn", "Sn", "Al"],
  "fractional_positions": [[0.000, 0.000, 0.000], [0.864, 0.864, 0.408], [0.136, 0.136, 0.592], [0.599, 0.599, 0.203], [0.401, 0.401, 0.797], [0.751, 0.751, 0.748], [0.249, 0.249, 0.252], [0.500, 0.500, 0.500]],
  "e_form_ev_per_atom": -0.689,
  "vol_a3_per_atom": 18.8,
  "dos_at_fermi_per_ev_atom": 0.431,
  "crystal_system": "trigonal",
  "m_tot_mub_per_fu": 0.00
}



{
  "formula": "Ca2Al2SnPd5",
  "functional": "PBE-GGA",
  "state": "optimized geometry",
  "lattice": [[-0.314, 3.228, 1.471], [2.522, -3.913, 9.126], [9.888, 1.845, -1.942]],
  "species": ["Al", "Al", "Al", "Al", "Ca", "Ca", "Ca", "Ca", "Pd", "Pd", "Pd", "Pd", "Pd", "Pd", "Pd", "Pd", "Pd", "Pd", "Sn", "Sn"],
  "fractional_positions": [[0.000, 0.121, 0.621], [0.000, 0.879, 0.379], [0.000, 0.621, 0.879], [0.000, 0.379, 0.121], [0.000, 0.178, 0.322], [0.000, 0.678, 0.178], [0.000, 0.322, 0.822], [0.000, 0.822, 0.678], [0.500, 0.712, 0.439], [0.500, 0.000, 0.500], [0.500, 0.788, 0.939], [0.500, 0.439, 0.288], [0.500, 0.939, 0.212], [0.500, 0.500, 0.000], [0.500, 0.561, 0.712], [0.500, 0.288, 0.561], [0.500, 0.212, 0.061], [0.500, 0.061, 0.788], [0.000, 0.000, 0.000], [0.000, 0.500, 0.500]],
  "e_form_ev_per_atom": -0.751,
  "vol_a3_per_atom": 18.7,
  "dos_at_fermi_per_ev_atom": 0.349,
  "crystal_system": "tetragonal",
  "m_tot_mub_per_fu": 0.00
}



{
  "formula": "Ca2AlSnPd6",
  "functional": "PBE-GGA",
  "state": "optimized geometry",
  "lattice": [[5.592, 0.804, -0.191], [0.812, 6.922, -0.339], [3.137, 3.595, 4.985]],
  "species": ["Sn", "Pd", "Pd", "Pd", "Pd", "Pd", "Pd", "Ca", "Ca", "Al"],
  "fractional_positions": [[0.500, 0.500, 0.000], [0.258, 0.146, 0.504], [0.005, 0.584, 0.272], [0.742, 0.854, 0.496], [0.893, 0.760, 0.871], [0.995, 0.416, 0.728], [0.107, 0.240, 0.129], [0.368, 0.794, 0.349], [0.632, 0.206, 0.651], [0.000, 0.000, 0.000]],
  "e_form_ev_per_atom": -0.586,
  "vol_a3_per_atom": 19.9,
  "dos_at_fermi_per_ev_atom": 0.368,
  "crystal_system": "triclinic",
  "m_tot_mub_per_fu": 0.00
}



{
  "formula": "SrCaAl2Pd",
  "functional": "PBE-GGA",
  "state": "optimized geometry",
  "lattice": [[4.972, 0.000, 0.000], [0.000, 4.972, 0.000], [0.000, 0.000, 5.324]],
  "species": ["Al", "Al", "Ca", "Sr", "Pd"],
  "fractional_positions": [[0.000, 0.500, 0.000], [0.500, 0.000, 0.000], [0.000, 0.000, 0.500], [0.500, 0.500, 0.500], [0.000, 0.000, 0.000]],
  "e_form_ev_per_atom": -0.310,
  "vol_a3_per_atom": 26.3,
  "dos_at_fermi_per_ev_atom": 0.565,
  "crystal_system": "tetragonal",
  "m_tot_mub_per_fu": 0.00
}



{
  "formula": "SrCa2AlPd",
  "functional": "PBE-GGA",
  "state": "optimized geometry",
  "lattice": [[5.603, 0.000, 0.000], [0.000, 5.603, 0.000], [0.000, 0.000, 5.007]],
  "species": ["Al", "Sr", "Pd", "Ca", "Ca"],
  "fractional_positions": [[0.000, 0.000, 0.500], [0.500, 0.500, 0.500], [0.000, 0.000, 0.000], [0.500, 0.000, 0.000], [0.000, 0.500, 0.000]],
  "e_form_ev_per_atom": -0.308,
  "vol_a3_per_atom": 31.4,
  "dos_at_fermi_per_ev_atom": 0.858,
  "crystal_system": "tetragonal",
  "m_tot_mub_per_fu": 0.00
}



{
  "formula": "CaAlTl2Pd",
  "functional": "PBE-GGA",
  "state": "optimized geometry",
  "lattice": [[5.368, 0.000, 0.000], [0.000, 4.800, 0.000], [0.000, 0.000, 5.368]],
  "species": ["Ca", "Tl", "Tl", "Al", "Pd"],
  "fractional_positions": [[0.500, 0.500, 0.500], [0.000, 0.000, 0.500], [0.500, 0.000, 0.000], [0.000, 0.500, 0.000], [0.000, 0.000, 0.000]],
  "e_form_ev_per_atom": -0.091,
  "vol_a3_per_atom": 27.7,
  "dos_at_fermi_per_ev_atom": 0.665,
  "crystal_system": "tetragonal",
  "m_tot_mub_per_fu": 0.00
}



{
  "formula": "Ca2TmAl2Pd5",
  "functional": "PBE-GGA",
  "state": "optimized geometry",
  "lattice": [[-2.880, 1.248, 2.076], [-0.746, -9.047, 4.406], [6.451, 2.960, 7.171]],
  "species": ["Al", "Al", "Al", "Al", "Pd", "Pd", "Pd", "Pd", "Pd", "Pd", "Pd", "Pd", "Pd", "Pd", "Ca", "Ca", "Ca", "Ca", "Tm", "Tm"],
  "fractional_positions": [[0.000, 0.881, 0.381], [0.000, 0.119, 0.619], [0.000, 0.381, 0.119], [0.000, 0.619, 0.881], [0.500, 0.431, 0.285], [0.500, 0.069, 0.785], [0.500, 0.715, 0.431], [0.500, 0.000, 0.500], [0.500, 0.569, 0.715], [0.500, 0.785, 0.931], [0.500, 0.931, 0.215], [0.500, 0.215, 0.069], [0.500, 0.285, 0.569], [0.500, 0.500, 0.000], [0.000, 0.324, 0.824], [0.000, 0.176, 0.324], [0.000, 0.824, 0.676], [0.000, 0.676, 0.176], [0.000, 0.500, 0.500], [0.000, 0.000, 0.000]],
  "e_form_ev_per_atom": -0.807,
  "vol_a3_per_atom": 19.2,
  "dos_at_fermi_per_ev_atom": 0.408,
  "crystal_system": "tetragonal",
  "m_tot_mub_per_fu": 0.00
}



{
  "formula": "CaY2AlPd",
  "functional": "PBE-GGA",
  "state": "optimized geometry",
  "lattice": [[-1.697, -5.114, -0.943], [2.011, 0.287, -5.180], [4.809, -1.920, 1.761]],
  "species": ["Y", "Y", "Al", "Pd", "Ca"],
  "fractional_positions": [[0.500, 0.000, 0.000], [0.000, 0.000, 0.500], [0.000, 0.000, 0.000], [0.500, 0.500, 0.500], [0.000, 0.500, 0.000]],
  "e_form_ev_per_atom": 0.367,
  "vol_a3_per_atom": 33.3,
  "dos_at_fermi_per_ev_atom": 1.205,
  "crystal_system": "tetragonal",
  "m_tot_mub_per_fu": 0.00
}



{
  "formula": "CaYAl2Pd",
  "functional": "PBE-GGA",
  "state": "optimized geometry",
  "lattice": [[-2.595, -4.609, 0.823], [5.134, -2.981, -0.510], [0.806, 0.487, 5.270]],
  "species": ["Ca", "Al", "Al", "Y", "Pd"],
  "fractional_positions": [[0.000, 0.500, 0.000], [0.500, 0.000, 0.000], [0.000, 0.000, 0.500], [0.000, 0.000, 0.000], [0.500, 0.500, 0.500]],
  "e_form_ev_per_atom": 1.194,
  "vol_a3_per_atom": 34.2,
  "dos_at_fermi_per_ev_atom": 1.115,
  "crystal_system": "tetragonal",
  "m_tot_mub_per_fu": 0.00
}



{
  "formula": "CaAlZnPd",
  "functional": "PBE-GGA",
  "state": "optimized geometry",
  "lattice": [[-2.586, -1.721, 3.538], [-3.743, -2.705, -0.919], [0.124, -4.603, 0.984]],
  "species": ["Zn", "Ca", "Al", "Pd"],
  "fractional_positions": [[0.000, 0.000, 0.000], [0.750, 0.750, 0.750], [0.250, 0.250, 0.250], [0.500, 0.500, 0.500]],
  "e_form_ev_per_atom": -0.410,
  "vol_a3_per_atom": 18.5,
  "relative_energy_mev_per_atom": 146.7,
  "dos_at_fermi_per_ev_atom": 0.616,
  "crystal_system": "cubic",
  "m_tot_mub_per_fu": 0.00
}



{
  "formula": "Ca2Al12ZnPd3",
  "functional": "PBE-GGA",
  "state": "optimized geometry",
  "lattice": [[7.936, -0.519, -0.368], [3.468, 7.157, -0.368], [3.468, 2.019, 6.876]],
  "species": ["Al", "Al", "Al", "Al", "Al", "Al", "Al", "Al", "Al", "Al", "Al", "Al", "Pd", "Pd", "Pd", "Ca", "Ca", "Zn"],
  "fractional_positions": [[0.748, 0.143, 0.748], [0.748, 0.748, 0.143], [0.136, 0.136, 0.635], [0.143, 0.748, 0.748], [0.635, 0.136, 0.136], [0.252, 0.857, 0.252], [0.857, 0.252, 0.252], [0.365, 0.864, 0.864], [0.864, 0.864, 0.365], [0.252, 0.252, 0.857], [0.864, 0.365, 0.864], [0.136, 0.635, 0.136], [0.000, 0.500, 0.000], [0.500, 0.000, 0.000], [0.000, 0.000, 0.500], [0.402, 0.402, 0.402], [0.598, 0.598, 0.598], [0.000, 0.000, 0.000]],
  "e_form_ev_per_atom": -0.062,
  "vol_a3_per_atom": 23.1,
  "dos_at_fermi_per_ev_atom": 0.361,
  "crystal_system": "trigonal",
  "m_tot_mub_per_fu": 0.00
}



{
  "formula": "Ca2Al4ZnPd3",
  "functional": "PBE-GGA",
  "state": "optimized geometry",
  "lattice": [[4.319, 0.000, 0.000], [0.000, 4.319, 0.000], [0.000, 0.000, 10.380]],
  "species": ["Pd", "Pd", "Pd", "Ca", "Ca", "Al", "Al", "Al", "Al", "Zn"],
  "fractional_positions": [[0.000, 0.500, 0.130], [0.000, 0.000, 0.500], [0.500, 0.000, 0.870], [0.000, 0.500, 0.746], [0.500, 0.000, 0.254], [0.000, 0.500, 0.370], [0.500, 0.500, 0.000], [0.500, 0.000, 0.630], [0.000, 0.000, 0.000], [0.500, 0.500, 0.500]],
  "e_form_ev_per_atom": -0.649,
  "vol_a3_per_atom": 19.4,
  "dos_at_fermi_per_ev_atom": 0.447,
  "crystal_system": "tetragonal",
  "m_tot_mub_per_fu": 0.00
}



{
  "formula": "CaAlZnPd",
  "functional": "PBE-GGA",
  "state": "optimized geometry",
  "lattice": [[-2.430, -2.175, -2.943], [1.845, -1.500, -3.694], [0.905, -5.600, 0.113]],
  "species": ["Ca", "Zn", "Al", "Pd"],
  "fractional_positions": [[0.802, 0.802, 0.593], [0.602, 0.602, 0.193], [0.324, 0.324, 0.027], [0.997, 0.997, 0.010]],
  "e_form_ev_per_atom": -0.557,
  "vol_a3_per_atom": 21.2,
  "relative_energy_mev_per_atom": 0.0,
  "dos_at_fermi_per_ev_atom": 0.471,
  "crystal_system": "trigonal",
  "m_tot_mub_per_fu": 0.00
}



{
  "formula": "Ca2Al2ZnPd5",
  "functional": "PBE-GGA",
  "state": "optimized geometry",
  "lattice": [[3.317, 0.000, 0.000], [0.000, 10.354, 0.000], [0.000, 0.000, 10.354]],
  "species": ["Pd", "Pd", "Pd", "Pd", "Pd", "Pd", "Pd", "Pd", "Pd", "Pd", "Zn", "Zn", "Al", "Al", "Al", "Al", "Ca", "Ca", "Ca", "Ca"],
  "fractional_positions": [[0.500, 0.500, 0.000], [0.500, 0.699, 0.439], [0.500, 0.939, 0.199], [0.500, 0.199, 0.061], [0.500, 0.561, 0.699], [0.500, 0.439, 0.301], [0.500, 0.061, 0.801], [0.500, 0.000, 0.500], [0.500, 0.301, 0.561], [0.500, 0.801, 0.939], [0.000, 0.000, 0.000], [0.000, 0.500, 0.500], [0.000, 0.372, 0.128], [0.000, 0.128, 0.628], [0.000, 0.872, 0.372], [0.000, 0.628, 0.872], [0.000, 0.673, 0.173], [0.000, 0.327, 0.827], [0.000, 0.173, 0.327], [0.000, 0.827, 0.673]],
  "e_form_ev_per_atom": -0.709,
  "vol_a3_per_atom": 17.8,
  "dos_at_fermi_per_ev_atom": 0.213,
  "crystal_system": "tetragonal",
  "m_tot_mub_per_fu": 0.00
}



{
  "formula": "CaAl4Zn2Pd",
  "functional": "PBE-GGA",
  "state": "optimized geometry",
  "lattice": [[4.317, 0.000, 0.000], [2.159, 3.739, 0.000], [2.159, 1.246, 9.240]],
  "species": ["Zn", "Zn", "Ca", "Al", "Al", "Al", "Al", "Pd"],
  "fractional_positions": [[0.738, 0.738, 0.787], [0.262, 0.262, 0.213], [0.000, 0.000, 0.000], [0.408, 0.408, 0.775], [0.869, 0.869, 0.394], [0.592, 0.592, 0.225], [0.131, 0.131, 0.606], [0.500, 0.500, 0.500]],
  "e_form_ev_per_atom": -0.294,
  "vol_a3_per_atom": 18.6,
  "dos_at_fermi_per_ev_atom": 0.247,
  "crystal_system": "trigonal",
  "m_tot_mub_per_fu": 0.00
}



{
  "formula": "CaPm2Al",
  "functional": "PBE-GGA",
  "state": "optimized geometry",
  "lattice": [[-3.279, 3.346, -0.871], [-3.534, -2.979, 1.862], [0.764, 1.927, 4.531]],
  "species": ["Pm", "Pm", "Ca", "Al"],
  "fractional_positions": [[0.000, 0.500, 0.000], [0.000, 0.000, 0.500], [0.500, 0.000, 0.000], [0.500, 0.500, 0.500]],
  "e_form_ev_per_atom": -0.100,
  "vol_a3_per_atom": 29.6,
  "relative_energy_mev_per_atom": 31.4,
  "dos_at_fermi_per_ev_atom": 1.085,
  "crystal_system": "tetragonal",
  "m_tot_mub_per_fu": 0.00
}



{
  "formula": "CaPm5Al3",
  "functional": "PBE-GGA",
  "state": "optimized geometry",
  "lattice": [[-3.714, 2.568, 5.087], [-3.103, -8.537, 2.045], [7.749, 3.226, 4.029]],
  "species": ["Pm", "Pm", "Pm", "Pm", "Pm", "Pm", "Pm", "Pm", "Pm", "Pm", "Al", "Al", "Al", "Al", "Al", "Al", "Ca", "Ca"],
  "fractional_positions": [[0.750, 0.000, 0.333], [0.000, 0.333, 0.667], [0.250, 0.667, 0.000], [0.000, 0.667, 0.333], [0.250, 0.000, 0.667], [0.500, 0.667, 0.333], [0.750, 0.333, 0.000], [0.250, 0.333, 0.333], [0.750, 0.667, 0.667], [0.500, 0.333, 0.667], [0.250, 0.665, 0.665], [0.250, 0.000, 0.335], [0.250, 0.335, 0.000], [0.750, 0.335, 0.335], [0.750, 0.665, 0.000], [0.750, 0.000, 0.665], [0.000, 0.000, 0.000], [0.500, 0.000, 0.000]],
  "e_form_ev_per_atom": -0.247,
  "vol_a3_per_atom": 28.4,
  "dos_at_fermi_per_ev_atom": 0.937,
  "crystal_system": "hexagonal",
  "m_tot_mub_per_fu": 0.00
}



{
  "formula": "CaPmAl",
  "functional": "PBE-GGA",
  "state": "optimized geometry",
  "lattice": [[-1.945, 1.189, -2.723], [-2.784, 0.408, 2.167], [6.689, 13.032, 3.228]],
  "species": ["Ca", "Ca", "Pm", "Pm", "Al", "Al"],
  "fractional_positions": [[0.566, 0.566, 0.133], [0.434, 0.434, 0.867], [0.299, 0.299, 0.599], [0.701, 0.701, 0.401], [0.134, 0.134, 0.267], [0.866, 0.866, 0.733]],
  "e_form_ev_per_atom": -0.122,
  "vol_a3_per_atom": 31.1,
  "relative_energy_mev_per_atom": 141.9,
  "dos_at_fermi_per_ev_atom": 0.940,
  "crystal_system": "tetragonal",
  "m_tot_mub_per_fu": 0.00
}



{
  "formula": "CaPm5Al6",
  "functional": "PBE-GGA",
  "state": "optimized geometry",
  "lattice": [[5.009, 0.018, -1.469], [-1.017, 6.510, -3.390], [-0.088, 0.488, 9.061]],
  "species": ["Al", "Al", "Al", "Al", "Al", "Al", "Pm", "Pm", "Pm", "Pm", "Pm", "Ca"],
  "fractional_positions": [[0.167, 0.420, 0.334], [0.833, 0.086, 0.666], [0.500, 0.743, 0.000], [0.500, 0.257, 0.000], [0.167, 0.914, 0.334], [0.833, 0.580, 0.666], [0.000, 0.500, 0.000], [0.661, 0.161, 0.321], [0.330, 0.330, 0.661], [0.339, 0.839, 0.679], [0.670, 0.670, 0.339], [0.000, 0.000, 0.000]],
  "e_form_ev_per_atom": -0.342,
  "vol_a3_per_atom": 25.3,
  "dos_at_fermi_per_ev_atom": 0.416,
  "crystal_system": "monoclinic",
  "m_tot_mub_per_fu": 0.00
}



{
  "formula": "CaPm2Al6",
  "functional": "PBE-GGA",
  "state": "optimized geometry",
  "lattice": [[-3.012, -0.658, -1.917], [3.078, -6.974, -2.444], [-4.345, 0.324, 6.716]],
  "species": ["Al", "Al", "Al", "Al", "Al", "Al", "Ca", "Pm", "Pm"],
  "fractional_positions": [[0.500, 0.667, 0.000], [0.500, 0.667, 0.667], [0.500, 0.000, 0.667], [0.500, 0.333, 0.333], [0.500, 0.000, 0.333], [0.500, 0.333, 0.000], [0.000, 0.000, 0.000], [0.000, 0.333, 0.667], [0.000, 0.667, 0.333]],
  "e_form_ev_per_atom": -0.402,
  "vol_a3_per_atom": 22.4,
  "dos_at_fermi_per_ev_atom": 0.477,
  "crystal_system": "hexagonal",
  "m_tot_mub_per_fu": 0.00
}



{
  "formula": "CaPm3Al2",
  "functional": "PBE-GGA",
  "state": "optimized geometry",
  "lattice": [[5.325, 0.000, 0.000], [0.000, 6.761, 0.000], [0.000, 0.000, 9.514]],
  "species": ["Al", "Al", "Al", "Al", "Pm", "Pm", "Pm", "Pm", "Pm", "Pm", "Ca", "Ca"],
  "fractional_positions": [[0.000, 0.272, 0.661], [0.500, 0.227, 0.156], [0.500, 0.727, 0.844], [0.000, 0.772, 0.339], [0.000, 0.285, 0.332], [0.000, 0.992, 0.029], [0.500, 0.213, 0.828], [0.000, 0.492, 0.971], [0.500, 0.713, 0.172], [0.000, 0.785, 0.668], [0.500, 0.510, 0.528], [0.500, 0.010, 0.472]],
  "e_form_ev_per_atom": -0.248,
  "vol_a3_per_atom": 28.5,
  "dos_at_fermi_per_ev_atom": 0.884,
  "crystal_system": "orthorhombic",
  "m_tot_mub_per_fu": 0.00
}



{
  "formula": "CaPm4Al5",
  "functional": "PBE-GGA",
  "state": "optimized geometry",
  "lattice": [[-2.083, 2.506, -1.723], [-2.313, 0.050, 2.869], [10.005, 13.695, 7.827]],
  "species": ["Al", "Al", "Al", "Al", "Al", "Ca", "Pm", "Pm", "Pm", "Pm"],
  "fractional_positions": [[0.500, 0.500, 0.500], [0.500, 0.500, 0.901], [0.500, 0.500, 0.699], [0.500, 0.500, 0.099], [0.500, 0.500, 0.301], [0.000, 0.000, 0.000], [0.000, 0.000, 0.200], [0.000, 0.000, 0.599], [0.000, 0.000, 0.401], [0.000, 0.000, 0.800]],
  "e_form_ev_per_atom": -0.325,
  "vol_a3_per_atom": 25.4,
  "dos_at_fermi_per_ev_atom": 0.551,
  "crystal_system": "tetragonal",
  "m_tot_mub_per_fu": 0.00
}